No. 1
# Th4SbAs2Au (GGA-PBE, relaxed)
data_Th4SbAs2Au
_symmetry_space_group_name_H-M 'P 1'
_symmetry_Int_Tables_number 1
_cell_length_a 7.548
_cell_length_b 4.247
_cell_length_c 7.598
_cell_angle_alpha 90.00
_cell_angle_beta 108.73
_cell_angle_gamma 90.00
loop_
_symmetry_equiv_pos_as_xyz
'x,y,z'
loop_
_atom_site_label
_atom_site_type_symbol
_atom_site_fract_x
_atom_site_fract_y
_atom_site_fract_z
Th1 Th 0.239 0.000 0.233
Th2 Th 0.246 0.500 0.757
Th3 Th 0.754 0.500 0.243
Th4 Th 0.761 0.000 0.767
Sb1 Sb 0.500 0.500 0.500
As1 As 0.000 0.500 0.000
As2 As 0.500 0.000 0.000
Au1 Au 0.000 0.000 0.500
# Space-group type: P2/m (10)
# Formation energy without anion corrections, kcal/mol of atoms: -23.70

No. 2
# AcSiBiO5 (GGA-PBE, relaxed)
data_AcSiBiO5
_symmetry_space_group_name_H-M 'P 1'
_symmetry_Int_Tables_number 1
_cell_length_a 6.076
_cell_length_b 6.076
_cell_length_c 7.630
_cell_angle_alpha 100.95
_cell_angle_beta 100.95
_cell_angle_gamma 108.79
loop_
_symmetry_equiv_pos_as_xyz
'x,y,z'
loop_
_atom_site_label
_atom_site_type_symbol
_atom_site_fract_x
_atom_site_fract_y
_atom_site_fract_z
Ac1 Ac 0.152 0.848 0.750
Ac2 Ac 0.848 0.152 0.250
Si1 Si 0.185 0.815 0.250
Si2 Si 0.815 0.185 0.750
Bi1 Bi 0.500 0.500 0.000
Bi2 Bi 0.500 0.500 0.500
O1 O 0.060 0.224 0.914
O2 O 0.158 0.590 0.350
O3 O 0.224 0.060 0.414
O4 O 0.386 0.614 0.750
O5 O 0.410 0.842 0.150
O6 O 0.590 0.158 0.850
O7 O 0.614 0.386 0.250
O8 O 0.776 0.940 0.586
O9 O 0.842 0.410 0.650
O10 O 0.940 0.776 0.086
# Space-group type: C2/c (15)
# Formation energy without anion corrections, kcal/mol of atoms: -57.20

No. 3
# ScVCrFe (GGA-PBE, relaxed)
data_ScVCrFe
_symmetry_space_group_name_H-M 'P 1'
_symmetry_Int_Tables_number 1
_cell_length_a 4.293
_cell_length_b 4.293
_cell_length_c 4.293
_cell_angle_alpha 60.00
_cell_angle_beta 60.00
_cell_angle_gamma 60.00
loop_
_symmetry_equiv_pos_as_xyz
'x,y,z'
loop_
_atom_site_label
_atom_site_type_symbol
_atom_site_fract_x
_atom_site_fract_y
_atom_site_fract_z
Sc1 Sc 0.000 0.000 0.000
V1 V 0.500 0.500 0.500
Cr1 Cr 0.250 0.250 0.250
Fe1 Fe 0.750 0.750 0.750
# Space-group type: F-43m (216)
# Calculated formation energy, eV per atom: 0.09

No. 4
# NaCa3Sn (GGA-PBE, relaxed)
data_NaCa3Sn
_symmetry_space_group_name_H-M 'P 1'
_symmetry_Int_Tables_number 1
_cell_length_a 10.748
_cell_length_b 10.748
_cell_length_c 3.783
_cell_angle_alpha 90.00
_cell_angle_beta 90.00
_cell_angle_gamma 110.05
loop_
_symmetry_equiv_pos_as_xyz
'x,y,z'
loop_
_atom_site_label
_atom_site_type_symbol
_atom_site_fract_x
_atom_site_fract_y
_atom_site_fract_z
Na1 Na 0.084 0.916 0.000
Na2 Na 0.916 0.084 0.000
Ca1 Ca 0.000 0.500 0.000
Ca2 Ca 0.245 0.755 0.500
Ca3 Ca 0.309 0.309 0.000
Ca4 Ca 0.500 0.000 0.000
Ca5 Ca 0.691 0.691 0.000
Ca6 Ca 0.755 0.245 0.500
Sn1 Sn 0.416 0.584 0.500
Sn2 Sn 0.584 0.416 0.500
# Relative energy among the computed polymorphs, meV/atom: 227
# Space-group type: Cmmm (65)
# Calculated formation energy, eV per atom: 0.08

No. 5
# BOs3Rh (GGA-PBE, relaxed)
data_BOs3Rh
_symmetry_space_group_name_H-M 'P 1'
_symmetry_Int_Tables_number 1
_cell_length_a 4.063
_cell_length_b 4.063
_cell_length_c 4.063
_cell_angle_alpha 90.00
_cell_angle_beta 90.00
_cell_angle_gamma 90.00
loop_
_symmetry_equiv_pos_as_xyz
'x,y,z'
loop_
_atom_site_label
_atom_site_type_symbol
_atom_site_fract_x
_atom_site_fract_y
_atom_site_fract_z
B1 B 0.000 0.000 0.000
Os1 Os 0.000 0.000 0.500
Os2 Os 0.000 0.500 0.000
Os3 Os 0.500 0.000 0.000
Rh1 Rh 0.500 0.500 0.500
# Relative energy among the computed polymorphs, meV/atom: 0
# Space-group type: Pm-3m (221)
# Calculated formation energy, eV per atom: 0.39

No. 6
# DyPaFeCo (GGA-PBE, relaxed)
data_DyPaFeCo
_symmetry_space_group_name_H-M 'P 1'
_symmetry_Int_Tables_number 1
_cell_length_a 4.714
_cell_length_b 4.714
_cell_length_c 4.714
_cell_angle_alpha 60.00
_cell_angle_beta 60.00
_cell_angle_gamma 60.00
loop_
_symmetry_equiv_pos_as_xyz
'x,y,z'
loop_
_atom_site_label
_atom_site_type_symbol
_atom_site_fract_x
_atom_site_fract_y
_atom_site_fract_z
Dy1 Dy 0.000 0.000 0.000
Pa1 Pa 0.500 0.500 0.500
Fe1 Fe 0.750 0.750 0.750
Co1 Co 0.250 0.250 0.250
# Space-group type: F-43m (216)
# Calculated formation energy, eV per atom: -0.01

| no. | DOS(E_F) (states/eV/cell) |
| --- | --- |
| 1 | 5.87 |
| 2 | 0.00 |
| 3 | 3.69 |
| 4 | 6.83 |
| 5 | 4.88 |
| 6 | 4.80 |